This record from Alexandria via LeMat-Bulk describes Cs2ZnSbBr after structural relaxation. The functional is PBE-GGA.

Summary:
energy above the lowest structure with this stoichiometry: 0.00 eV/f.u.
space group: P4/mmm
formation energy from raw total energies: -0.26 eV/atom
E: -2.01 eV/atom
magnetic moment: 1.7 μB/f.u.

a b c (Å): 6.9122 6.9122 5.7028
angles (deg): 90.00 90.00 90.00
Sites, in units of the cell vectors:
1 Cs 0.0000 0.5000 0.0000
2 Cs 0.5000 0.0000 0.0000
3 Zn 0.0000 0.0000 0.5000
4 Sb 0.5000 0.5000 0.5000
5 Br 0.0000 0.0000 0.0000